Record 1
CaPt2W | the Alexandria database | PBE | optimized geometry; energy relative to the lowest polymorph listed for this composition = 539 meV per atom; space-group type = No. 216
1.0
0.000 3.253 3.253
3.253 0.000 3.253
3.253 3.253 0.000
Ca Pt W
1 2 1
direct
0.000 0.000 0.000 Ca
0.250 0.250 0.250 Pt
0.500 0.500 0.500 Pt
0.750 0.750 0.750 W


Record 2
CaPt2W | the Alexandria database | PBE | optimized geometry; energy relative to the lowest polymorph listed for this composition = 127 meV per atom; space-group type = No. 8
1.0
5.196 -1.406 0.000
5.196 1.406 0.000
-1.069 0.000 4.829
Ca Pt W
1 2 1
direct
0.000 0.000 0.000 Ca
0.473 0.473 0.497 Pt
0.753 0.753 0.126 Pt
0.207 0.207 0.613 W


Record 3
CaY2Pt | the Alexandria database | PBE | optimized geometry; energy relative to the lowest polymorph listed for this composition = 106 meV per atom; space-group type = No. 99
1.0
3.598 0.000 0.000
0.000 3.598 0.000
0.000 0.000 8.730
Ca Y Pt
1 2 1
direct
0.000 0.000 0.000 Ca
0.000 0.000 0.378 Y
0.500 0.500 0.669 Y
0.500 0.500 0.209 Pt


Record 4
CaY3Pt8 | the Alexandria database | PBE | optimized geometry; space-group type = No. 156
1.0
5.460 0.000 0.000
-2.730 4.729 0.000
0.000 0.000 8.882
Ca Y Pt
1 3 8
direct
0.000 0.000 0.000 Ca
0.000 0.000 0.366 Y
0.667 0.333 0.507 Y
0.667 0.333 0.879 Y
0.164 0.328 0.687 Pt
0.164 0.836 0.687 Pt
0.333 0.667 0.439 Pt
0.333 0.667 0.939 Pt
0.503 0.005 0.191 Pt
0.503 0.497 0.191 Pt
0.672 0.836 0.687 Pt
0.995 0.497 0.191 Pt


Record 5
CaYPt2 | the Alexandria database | PBE | optimized geometry; space-group type = No. 38
1.0
4.406 0.000 0.000
0.000 1.931 5.343
0.000 -1.931 5.343
Ca Y Pt
1 1 2
direct
0.000 0.000 0.000 Ca
0.500 0.281 0.281 Y
0.000 0.725 0.725 Pt
0.500 0.560 0.560 Pt


Record 6
CaYPt3 | the Alexandria database | PBE | optimized geometry; energy relative to the lowest polymorph listed for this composition = 236 meV per atom; space-group type = No. 221
1.0
4.952 0.000 0.000
0.000 4.952 0.000
0.000 0.000 4.952
Ca Y Pt
1 1 3
direct
0.000 0.000 0.000 Ca
0.500 0.500 0.500 Y
0.000 0.000 0.500 Pt
0.000 0.500 0.000 Pt
0.500 0.000 0.000 Pt


Record 7
Ca2YPt | the Alexandria database | PBE | optimized geometry; energy relative to the lowest polymorph listed for this composition = 471 meV per atom; space-group type = No. 225
1.0
0.000 3.718 3.718
3.718 0.000 3.718
3.718 3.718 0.000
Ca Y Pt
2 1 1
direct
0.250 0.250 0.250 Ca
0.750 0.750 0.750 Ca
0.000 0.000 0.000 Y
0.500 0.500 0.500 Pt


Record 8
CaYPt2 | the Alexandria database | PBE | optimized geometry; space-group type = No. 166
1.0
2.041 1.178 6.800
-2.041 1.178 6.800
0.000 -2.357 6.800
Ca Y Pt
1 1 2
direct
0.000 0.000 0.000 Ca
0.500 0.500 0.500 Y
0.246 0.246 0.246 Pt
0.754 0.754 0.754 Pt


Record 9
Ca2YPt2 | the Alexandria database | PBE | optimized geometry; energy relative to the lowest polymorph listed for this composition = 288 meV per atom; space-group type = No. 127
1.0
8.281 0.000 0.000
0.000 8.281 0.000
0.000 0.000 3.345
Ca Y Pt
4 2 4
direct
0.128 0.372 0.000 Ca
0.372 0.872 0.000 Ca
0.628 0.128 0.000 Ca
0.872 0.628 0.000 Ca
0.000 0.000 0.000 Y
0.500 0.500 0.000 Y
0.174 0.674 0.500 Pt
0.326 0.174 0.500 Pt
0.674 0.826 0.500 Pt
0.826 0.326 0.500 Pt


Record 10
CaYPt2 | the Alexandria database | PBE | optimized geometry; space-group type = No. 216
1.0
0.000 3.428 3.428
3.428 0.000 3.428
3.428 3.428 0.000
Ca Y Pt
1 1 2
direct
0.000 0.000 0.000 Ca
0.250 0.250 0.250 Y
0.500 0.500 0.500 Pt
0.750 0.750 0.750 Pt


Record 11
Ca2YPt | the Alexandria database | PBE | optimized geometry; energy relative to the lowest polymorph listed for this composition = 298 meV per atom; space-group type = No. 22
1.0
0.000 3.689 3.722
3.679 0.000 3.722
3.679 3.689 0.000
Ca Y Pt
2 1 1
direct
0.000 0.000 0.000 Ca
0.250 0.250 0.250 Ca
0.500 0.500 0.500 Y
0.750 0.750 0.750 Pt


Record 12
CaY2Pt | the Alexandria database | PBE | optimized geometry; energy relative to the lowest polymorph listed for this composition = 212 meV per atom; space-group type = No. 160
1.0
1.917 1.107 9.777
-1.917 1.107 9.777
0.000 -2.213 9.777
Ca Y Pt
1 2 1
direct
0.000 0.000 0.000 Ca
0.223 0.223 0.223 Y
0.455 0.455 0.455 Y
0.730 0.730 0.730 Pt


Record 13
Ca2YPt | the Alexandria database | PBE | optimized geometry; energy relative to the lowest polymorph listed for this composition = 0 meV per atom; space-group type = No. 38
1.0
3.858 0.000 0.000
0.000 2.052 8.148
0.000 -2.052 8.148
Ca Y Pt
2 1 1
direct
0.000 0.000 0.000 Ca
0.500 0.330 0.330 Ca
0.500 0.648 0.648 Y
0.000 0.185 0.185 Pt


Record 14
CaY2Pt | the Alexandria database | PBE | optimized geometry; energy relative to the lowest polymorph listed for this composition = 94 meV per atom; space-group type = No. 38
1.0
3.863 0.000 0.000
0.000 2.085 7.614
0.000 -2.085 7.614
Ca Y Pt
1 2 1
direct
0.000 0.000 0.000 Ca
0.000 0.304 0.304 Y
0.500 0.659 0.659 Y
0.500 0.843 0.843 Pt


Record 15
Ca2YPt9 | the Alexandria database | PBE | optimized geometry; space-group type = No. 166
1.0
2.700 1.559 8.904
-2.700 1.559 8.904
0.000 -3.117 8.904
Ca Y Pt
2 1 9
direct
0.142 0.142 0.142 Ca
0.858 0.858 0.858 Ca
0.000 0.000 0.000 Y
0.081 0.586 0.586 Pt
0.333 0.333 0.333 Pt
0.414 0.414 0.919 Pt
0.414 0.919 0.414 Pt
0.500 0.500 0.500 Pt
0.586 0.081 0.586 Pt
0.586 0.586 0.081 Pt
0.667 0.667 0.667 Pt
0.919 0.414 0.414 Pt


| no. | ΔH_f (0 K) (eV/f.u.) |
| --- | --- |
| 1 | 0.73 |
| 2 | -0.91 |
| 3 | -2.09 |
| 4 | -12.25 |
| 5 | -4.34 |
| 6 | 1.34 |
| 7 | -0.49 |
| 8 | -3.59 |
| 9 | -2.99 |
| 10 | -2.51 |
| 11 | -1.18 |
| 12 | -1.66 |
| 13 | -2.38 |
| 14 | -2.14 |
| 15 | -9.77 |